[1]
VASP calculation (GGA-PBE) on a geometry-optimized Ni2IrSe structure.

Properties
As for the density of states at the Fermi level: 11.4 states/eV per cell. Its formation energy without anion corrections is 1.03 eV/f.u. As for the total DFT energy (no corrections): -45.76 eV for the cell shown.

Cell: 3.779 3.779 7.451 Å, 90.00 90.00 90.00°
Space group I-4m2 (No. 119)
Unique sites:
1 Ni 0.000 0.000 0.000 x2
2 Ni 0.000 0.500 0.250 x2
3 Ir 0.000 0.000 0.500 x2
4 Se 0.000 0.500 0.750 x2


[2]
VASP calculation (GGA-PBE) on a geometry-optimized Ni2IrSe structure.

Properties
As for the density of states at the Fermi level: 14.6 states/eV per cell. Its formation energy without anion corrections is 0.81 eV/f.u. As for the total DFT energy (no corrections): -69.31 eV for the cell shown.

Cell: 2.8386 2.8386 23.2899 Å, 90.00 90.00 120.00°
Space group R-3m (No. 166, hexagonal axes)
Unique sites:
1 Ni 0.0000 0.0000 0.2460 x6
2 Ir 0.0000 0.0000 0.0000 x3
3 Se 0.0000 0.0000 0.5000 x3


[3]
VASP calculation (GGA-PBE) on a geometry-optimized Ni2IrSe structure.

Properties
As for the density of states at the Fermi level: 4.6 states/eV per cell. Its formation energy without anion corrections is 0.80 eV/f.u. As for the total DFT energy (no corrections): -23.10 eV for the cell shown.

Cell: 3.088 3.166 5.429 Å, 90.00 90.00 90.00°
Space group Pmm2 (No. 25)
Unique sites:
1 Ni 0.000 0.000 0.000 x1
2 Ni 0.500 0.500 0.224 x1
3 Ir 0.500 0.500 0.747 x1
4 Se 0.000 0.000 0.446 x1


[4]
VASP calculation (GGA-PBE) on a geometry-optimized Ni2IrSe structure.

Properties
As for the density of states at the Fermi level: 4.6 states/eV per cell. Its formation energy without anion corrections is 0.83 eV/f.u. As for the total DFT energy (no corrections): -23.08 eV for the cell shown.

Cell: 2.908 2.908 6.315 Å, 90.00 90.00 90.00°
Space group P4/mmm (No. 123)
Unique sites:
1 Ni 0.000 0.000 0.241 x2
2 Ir 0.500 0.500 0.500 x1
3 Se 0.500 0.500 0.000 x1


[5]
VASP calculation (GGA-PBE) on a geometry-optimized NiIr2Se6 structure.

Properties
As for the density of states at the Fermi level: 20.7 states/eV per cell. Its formation energy without anion corrections is -0.63 eV/f.u. As for the total DFT energy (no corrections): -90.07 eV for the cell shown.

Cell: 5.656 5.656 11.610 Å, 90.00 90.00 90.00°
Space group P4_2/mnm (No. 136)
Unique sites:
1 Ni 0.000 0.000 0.000 x2
2 Ir 0.000 0.000 0.333 x4
3 Se 0.190 0.190 0.163 x8
4 Se 0.199 0.199 0.500 x4


[6]
VASP calculation (GGA-PBE) on a geometry-optimized Ni2IrSe structure.

Properties
As for the density of states at the Fermi level: 21.9 states/eV per cell. Its formation energy without anion corrections is 1.17 eV/f.u. As for the total DFT energy (no corrections): -90.93 eV for the cell shown.

Cell: 5.978 5.978 5.978 Å, 90.00 90.00 90.00°
Space group F-43m (No. 216)
Unique sites:
1 Ni 0.000 0.000 0.000 x4
2 Ni 0.250 0.250 0.250 x4
3 Ir 0.000 0.000 0.500 x4
4 Se 0.250 0.250 0.750 x4


[7]
VASP calculation (GGA-PBE) on a geometry-optimized NiIr3Se structure.

Properties
As for the density of states at the Fermi level: 12.1 states/eV per cell. Its formation energy without anion corrections is 7.56 eV/f.u. As for the total DFT energy (no corrections): -28.29 eV for the cell shown.

Cell: 4.548 4.548 4.548 Å, 90.00 90.00 90.00°
Space group Pm-3m (No. 221)
Unique sites:
1 Ni 0.000 0.000 0.000 x1
2 Ir 0.000 0.500 0.500 x3
3 Se 0.500 0.500 0.500 x1


[8]
VASP calculation (GGA-PBE) on a geometry-optimized NiIr4Se structure.

Properties
As for the density of states at the Fermi level: 44.3 states/eV per cell. Its formation energy without anion corrections is 4.98 eV/f.u. As for the total DFT energy (no corrections): -158.93 eV for the cell shown.

Cell: 7.323 7.323 7.323 Å, 90.00 90.00 90.00°
Space group F-43m (No. 216)
Unique sites:
1 Ni 0.000 0.000 0.000 x4
2 Ir 0.125 0.125 0.375 x16
3 Se 0.250 0.250 0.750 x4


[9]
VASP calculation (GGA-PBE) on a geometry-optimized NiIrSe4 structure.

Properties
As for the density of states at the Fermi level: 2.1 states/eV per cell. Its formation energy without anion corrections is -1.69 eV/f.u. As for the total DFT energy (no corrections): -30.28 eV for the cell shown.

Cell: 5.098 3.703 6.352 Å, 90.00 94.08 90.00°
Space group P2/m (No. 10)
Unique sites:
1 Ni 0.000 0.000 0.000 x1
2 Ir 0.000 0.500 0.500 x1
3 Se 0.227 0.500 0.860 x2
4 Se 0.266 0.000 0.360 x2


[10]
VASP calculation (GGA-PBE) on a geometry-optimized SiNi2IrSe structure.

Properties
As for the density of states at the Fermi level: 6.1 states/eV per cell. Its formation energy without anion corrections is 5.03 eV/f.u. As for the total DFT energy (no corrections): -24.31 eV for the cell shown.

Cell: 4.210 4.210 4.753 Å, 90.00 90.00 90.00°
Space group P4/mmm (No. 123)
Unique sites:
1 Si 0.000 0.000 0.000 x1
2 Ni 0.000 0.500 0.500 x2
3 Ir 0.500 0.500 0.000 x1
4 Se 0.000 0.000 0.500 x1


[11]
VASP calculation (GGA-PBE) on a geometry-optimized Ta2NiIrSe structure.

Properties
As for the density of states at the Fermi level: 6.6 states/eV per cell. Its formation energy without anion corrections is 5.79 eV/f.u. As for the total DFT energy (no corrections): -36.04 eV for the cell shown.

Cell: 4.676 4.676 4.521 Å, 90.00 90.00 90.00°
Space group P4/mmm (No. 123)
Unique sites:
1 Ta 0.000 0.500 0.000 x2
2 Ni 0.000 0.000 0.500 x1
3 Ir 0.500 0.500 0.500 x1
4 Se 0.500 0.500 0.000 x1


[12]
VASP calculation (GGA-PBE) on a geometry-optimized Th6NiIr2Se3 structure.

Properties
As for the density of states at the Fermi level: 22.5 states/eV per cell. Its formation energy without anion corrections is -14.20 eV/f.u. As for the total DFT energy (no corrections): -185.35 eV for the cell shown.

Cell: 18.741 4.145 8.711 Å, 90.00 108.34 90.00°
Space group C2/m (No. 12)
Unique sites:
1 Th 0.007 0.000 0.233 x4
2 Th 0.158 0.500 0.097 x4
3 Th 0.174 0.500 0.568 x4
4 Ni 0.000 0.500 0.000 x2
5 Ir 0.166 0.000 0.331 x4
6 Se 0.000 0.500 0.500 x2
7 Se 0.166 0.000 0.834 x4


[13]
VASP calculation (GGA-PBE) on a geometry-optimized Tl2NiIr2Se6 structure.

Properties
As for the density of states at the Fermi level: 7.8 states/eV per cell. Its formation energy without anion corrections is -3.18 eV/f.u. As for the total DFT energy (no corrections): -104.65 eV for the cell shown.

Cell: 6.525 11.325 7.683 Å, 90.00 107.71 90.00°
Space group C2/m (No. 12)
Unique sites:
1 Tl 0.000 0.173 0.000 x4
2 Ni 0.000 0.000 0.500 x2
3 Ir 0.000 0.331 0.500 x4
4 Se 0.225 0.164 0.669 x8
5 Se 0.235 0.500 0.665 x4


[14]
VASP calculation (GGA-PBE) on a geometry-optimized SiNiIr4 structure.

Properties
As for the density of states at the Fermi level: 49.4 states/eV per cell. Its formation energy without anion corrections is 4.28 eV/f.u. As for the total DFT energy (no corrections): -169.48 eV for the cell shown.

Cell: 7.278 7.278 7.278 Å, 90.00 90.00 90.00°
Space group F-43m (No. 216)
Unique sites:
1 Si 0.000 0.000 0.000 x4
2 Ni 0.250 0.250 0.750 x4
3 Ir 0.125 0.125 0.375 x16


[15]
VASP calculation (GGA-PBE) on a geometry-optimized Si2NiIr2 structure.

Properties
As for the density of states at the Fermi level: 4.8 states/eV per cell. Its formation energy without anion corrections is -2.07 eV/f.u. As for the total DFT energy (no corrections): -72.83 eV for the cell shown.

Cell: 6.968 6.968 2.780 Å, 90.00 90.00 90.00°
Space group P4/mbm (No. 127)
Unique sites:
1 Si 0.152 0.348 0.000 x4
2 Ni 0.000 0.000 0.000 x2
3 Ir 0.146 0.646 0.500 x4


[16]
VASP calculation (GGA-PBE) on a geometry-optimized Si2Ni4Ir structure.

Properties
As for the density of states at the Fermi level: 20.1 states/eV per cell. Its formation energy without anion corrections is 5.35 eV/f.u. As for the total DFT energy (no corrections): -74.97 eV for the cell shown.

Cell: 4.504 4.504 11.550 Å, 90.00 90.00 90.00°
Space group I4/mmm (No. 139)
Unique sites:
1 Si 0.000 0.000 0.101 x4
2 Ni 0.000 0.000 0.288 x4
3 Ni 0.000 0.500 0.000 x4
4 Ir 0.000 0.000 0.500 x2


[17]
VASP calculation (GGA-PBE) on a geometry-optimized Si4NiIr2 structure.

Properties
As for the density of states at the Fermi level: 8.3 states/eV per cell. Its formation energy without anion corrections is -2.14 eV/f.u. As for the total DFT energy (no corrections): -189.34 eV for the cell shown.

Cell: 8.910 3.874 11.870 Å, 90.00 90.00 90.00°
Space group Pnma (No. 62)
Unique sites:
1 Si 0.001 0.250 0.097 x4
2 Si 0.025 0.750 0.371 x4
3 Si 0.179 0.250 0.500 x4
4 Si 0.205 0.250 0.740 x4
5 Ni 0.143 0.750 0.625 x4
6 Ir 0.136 0.250 0.281 x4
7 Ir 0.182 0.250 0.939 x4


[18]
VASP calculation (GGA-PBE) on a geometry-optimized Si2Ni3Ir structure.

Properties
As for the density of states at the Fermi level: 3.7 states/eV per cell. Its formation energy without anion corrections is -3.37 eV/f.u. As for the total DFT energy (no corrections): -80.84 eV for the cell shown.

Cell: 3.686 7.010 5.525 Å, 90.00 90.00 90.00°
Space group Pmc2_1 (No. 26)
Unique sites:
1 Si 0.000 0.122 0.000 x2
2 Si 0.500 0.372 0.511 x2
3 Ni 0.000 0.186 0.406 x2
4 Ni 0.500 0.067 0.714 x2
5 Ni 0.500 0.302 0.108 x2
6 Ir 0.000 0.430 0.793 x2


[19]
VASP calculation (GGA-PBE) on a geometry-optimized SiNi2Ir2 structure.

Properties
As for the density of states at the Fermi level: 10.9 states/eV per cell. Its formation energy without anion corrections is -0.18 eV/f.u. As for the total DFT energy (no corrections): -69.78 eV for the cell shown.

Cell: 6.077 6.077 3.827 Å, 90.00 90.00 90.00°
Space group P4/mbm (No. 127)
Unique sites:
1 Si 0.000 0.000 0.000 x2
2 Ni 0.152 0.348 0.500 x4
3 Ir 0.147 0.647 0.000 x4


[20]
VASP calculation (GGA-PBE) on a geometry-optimized SiNi3Ir structure.

Properties
As for the density of states at the Fermi level: 6.2 states/eV per cell. Its formation energy without anion corrections is 3.37 eV/f.u. As for the total DFT energy (no corrections): -28.26 eV for the cell shown.

Cell: 4.110 4.110 4.110 Å, 90.00 90.00 90.00°
Space group Pm-3m (No. 221)
Unique sites:
1 Si 0.000 0.000 0.000 x1
2 Ni 0.000 0.000 0.500 x3
3 Ir 0.500 0.500 0.500 x1